LiMn2P2HO8 GGA+U relaxed; total moment = 20.000 Bohr magnetons per cell; crystal system = triclinic; total DFT energy (no corrections) = -7.096 eV/atom
1.0
5.180 -0.168 -0.331
-2.650 8.892 0.079
1.211 1.173 8.445
Mn H Li O P
4 2 2 16 4
Direct
0.190 0.597 0.229 Mn
0.324 0.109 0.597 Mn
0.676 0.891 0.403 Mn
0.810 0.403 0.771 Mn
0.122 0.060 0.131 H
0.878 0.940 0.869 H
0.647 0.243 0.154 Li
0.353 0.757 0.846 Li
0.585 0.629 0.143 O
0.415 0.371 0.857 O
0.728 0.274 0.584 O
0.272 0.726 0.416 O
0.257 0.166 0.087 O
0.883 0.899 0.181 O
0.355 0.887 0.635 O
0.117 0.101 0.819 O
0.126 0.210 0.449 O
0.913 0.387 0.297 O
0.087 0.613 0.703 O
0.874 0.790 0.551 O
0.743 0.834 0.913 O
0.912 0.274 0.960 O
0.645 0.113 0.365 O
0.088 0.726 0.040 O
0.827 0.769 0.075 P
0.868 0.249 0.425 P
0.173 0.231 0.925 P
0.132 0.751 0.575 P